a:
VASP calculation (GGA-PBE) on crystalline Hf3CuH3 at its relaxed geometry.

Lattice parameters (Å, degrees): 5.7722 5.7722 7.1361 66.14 66.14 60.00
Positions (direct):
Hf (0.2277, 0.5891, 0.2759)
Hf (0.9074, 0.2277, 0.2759)
Hf (0.5891, 0.9074, 0.2759)
Hf (0.4109, 0.0926, 0.7241)
Hf (0.0926, 0.7723, 0.7241)
Hf (0.7723, 0.4109, 0.7241)
Cu (0.3332, 0.3332, 0.0004)
Cu (0.6668, 0.6668, 0.9996)
H (0.4769, 0.7907, 0.6002)
H (0.7907, 0.1321, 0.6002)
H (0.1321, 0.4769, 0.6002)
H (0.8679, 0.5231, 0.3998)
H (0.2093, 0.8679, 0.3998)
H (0.5231, 0.2093, 0.3998)

Values from the calculation:
symmetry	R-3, No. 148
Fermi-level density of states	4.48	states/eV/f.u.

=====

b:
VASP calculation (GGA-PBE) on crystalline Hf3CuH3 at its relaxed geometry.

Lattice parameters (Å, degrees): 5.6132 5.6132 5.6132 90.00 90.00 90.00
Positions (direct):
H (0.2500, 0.0000, 0.5000)
H (0.0000, 0.5000, 0.2500)
H (0.5000, 0.7500, 0.0000)
H (0.7500, 0.0000, 0.5000)
H (0.0000, 0.5000, 0.7500)
H (0.5000, 0.2500, 0.0000)
Hf (0.0000, 0.2500, 0.5000)
Hf (0.0000, 0.7500, 0.5000)
Hf (0.5000, 0.0000, 0.7500)
Hf (0.7500, 0.5000, 0.0000)
Hf (0.5000, 0.0000, 0.2500)
Hf (0.2500, 0.5000, 0.0000)
Cu (0.5000, 0.5000, 0.5000)
Cu (0.0000, 0.0000, 0.0000)

Values from the calculation:
symmetry	Pm-3n, No. 223
Fermi-level density of states	3.44	states/eV/f.u.

=====

b is favored, and the nearest alternative lies 3.2 kJ/mol of atoms above it.

=====

a:
VASP calculation (GGA-PBE) on crystalline Hf2CuHIr at its relaxed geometry.

Lattice parameters (Å, degrees): 4.4943 4.4943 3.5048 90.00 90.00 90.00
Positions (direct):
H (0.0000, 0.0000, 0.0000)
Ir (0.5000, 0.5000, 0.5000)
Hf (0.0000, 0.5000, 0.0000)
Hf (0.5000, 0.0000, 0.0000)
Cu (0.0000, 0.0000, 0.5000)

Values from the calculation:
symmetry	P4/mmm, No. 123
Fermi-level density of states	2.50	states/eV/f.u.

=====

b:
VASP calculation (GGA-PBE) on crystalline Hf2CuHIr at its relaxed geometry.

Lattice parameters (Å, degrees): 4.4339 4.4339 3.6744 90.00 90.00 90.00
Positions (direct):
H (0.0000, 0.0000, 0.0000)
Ir (0.0000, 0.0000, 0.5000)
Hf (0.0000, 0.5000, 0.0000)
Hf (0.5000, 0.0000, 0.0000)
Cu (0.5000, 0.5000, 0.5000)

Values from the calculation:
symmetry	P4/mmm, No. 123
Fermi-level density of states	5.66	states/eV/f.u.

=====

a is favored, and the nearest alternative lies 8.4 kJ/mol of atoms above it.

=====

a:
VASP calculation (GGA-PBE) on crystalline Hf2NbCuH at its relaxed geometry.

Lattice parameters (Å, degrees): 4.5064 4.5064 3.6898 90.00 90.00 90.00
Positions (direct):
H (0.0000, 0.0000, 0.0000)
Nb (0.5000, 0.5000, 0.5000)
Hf (0.0000, 0.5000, 0.0000)
Hf (0.5000, 0.0000, 0.0000)
Cu (0.0000, 0.0000, 0.5000)

Values from the calculation:
symmetry	P4/mmm, No. 123
Fermi-level density of states	3.72	states/eV/f.u.

=====

b:
VASP calculation (GGA-PBE) on crystalline Hf2NbCuH at its relaxed geometry.

Lattice parameters (Å, degrees): 4.4984 4.4984 3.7897 90.00 90.00 90.00
Positions (direct):
H (0.0000, 0.0000, 0.0000)
Nb (0.0000, 0.0000, 0.5000)
Hf (0.0000, 0.5000, 0.0000)
Hf (0.5000, 0.0000, 0.0000)
Cu (0.5000, 0.5000, 0.5000)

Values from the calculation:
symmetry	P4/mmm, No. 123
Fermi-level density of states	4.65	states/eV/f.u.

=====

a is favored, and the nearest alternative lies 1.2 kJ/mol of atoms above it.

=====

a:
VASP calculation (GGA-PBE) on crystalline Hf2CuNiH at its relaxed geometry.

Lattice parameters (Å, degrees): 4.3826 4.3826 3.5278 90.00 90.00 90.00
Positions (direct):
Ni (0.5000, 0.5000, 0.5000)
Hf (0.0000, 0.5000, 0.0000)
Hf (0.5000, 0.0000, 0.0000)
Cu (0.0000, 0.0000, 0.5000)
H (0.0000, 0.0000, 0.0000)

Values from the calculation:
symmetry	P4/mmm, No. 123
Fermi-level density of states	2.83	states/eV/f.u.

=====

b:
VASP calculation (GGA-PBE) on crystalline Hf2CuNiH at its relaxed geometry.

Lattice parameters (Å, degrees): 4.4885 4.4885 3.3796 90.00 90.00 90.00
Positions (direct):
Ni (0.0000, 0.0000, 0.5000)
Hf (0.0000, 0.5000, 0.0000)
Hf (0.5000, 0.0000, 0.0000)
Cu (0.5000, 0.5000, 0.5000)
H (0.0000, 0.0000, 0.0000)

Values from the calculation:
symmetry	P4/mmm, No. 123
Fermi-level density of states	5.20	states/eV/f.u.

=====

b is favored, and the nearest alternative lies 2.6 kJ/mol of atoms above it.

=====

a:
VASP calculation (GGA-PBE) on crystalline Hf2CuHPt at its relaxed geometry.

Lattice parameters (Å, degrees): 4.4111 4.4111 3.7073 90.00 90.00 90.00
Positions (direct):
H (0.0000, 0.0000, 0.0000)
Hf (0.0000, 0.5000, 0.0000)
Hf (0.5000, 0.0000, 0.0000)
Cu (0.0000, 0.0000, 0.5000)
Pt (0.5000, 0.5000, 0.5000)

Values from the calculation:
symmetry	P4/mmm, No. 123
Fermi-level density of states	3.96	states/eV/f.u.

=====

b:
VASP calculation (GGA-PBE) on crystalline Hf2CuHPt at its relaxed geometry.

Lattice parameters (Å, degrees): 4.4369 3.7380 4.4369 90.00 90.00 90.00
Positions (direct):
H (0.0000, 0.0000, 0.0000)
Hf (0.0000, 0.0000, 0.5000)
Hf (0.5000, 0.0000, 0.0000)
Cu (0.5000, 0.5000, 0.5000)
Pt (0.0000, 0.5000, 0.0000)

Values from the calculation:
symmetry	P4/mmm, No. 123
Fermi-level density of states	4.36	states/eV/f.u.

=====

a is favored, and the nearest alternative lies 10.1 kJ/mol of atoms above it.

=====

a:
VASP calculation (GGA-PBE) on crystalline HfCuHRu2 at its relaxed geometry.

Lattice parameters (Å, degrees): 4.0395 4.0395 3.7865 90.00 90.00 90.00
Positions (direct):
Ru (0.0000, 0.5000, 0.0000)
Ru (0.5000, 0.0000, 0.0000)
Hf (0.5000, 0.5000, 0.5000)
Cu (0.0000, 0.0000, 0.5000)
H (0.0000, 0.0000, 0.0000)

Values from the calculation:
symmetry	P4/mmm, No. 123
Fermi-level density of states	3.70	states/eV/f.u.

=====

b:
VASP calculation (GGA-PBE) on crystalline HfCuHRu2 at its relaxed geometry.

Lattice parameters (Å, degrees): 3.9286 4.0511 3.9286 90.00 90.00 90.00
Positions (direct):
Ru (0.0000, 0.0000, 0.5000)
Ru (0.5000, 0.0000, 0.0000)
Hf (0.0000, 0.5000, 0.0000)
Cu (0.5000, 0.5000, 0.5000)
H (0.0000, 0.0000, 0.0000)

Values from the calculation:
symmetry	P4/mmm, No. 123
Fermi-level density of states	3.68	states/eV/f.u.

=====

a is favored, and the nearest alternative lies 4.5 kJ/mol of atoms above it.

=====

a:
VASP calculation (GGA-PBE) on crystalline CuHgH at its relaxed geometry.

Lattice parameters (Å, degrees): 2.8112 7.3119 4.4200 90.00 90.00 90.00
Positions (direct):
Cu (0.0000, 0.0000, 0.9755)
Cu (0.5000, 0.0000, 0.4755)
Hg (0.0000, 0.6430, 0.6288)
Hg (0.5000, 0.3570, 0.1288)
H (0.0000, 0.0959, 0.6326)
H (0.5000, 0.9041, 0.1326)

Values from the calculation:
symmetry	Pmn2_1, No. 31
Fermi-level density of states	0.44	states/eV/f.u.

=====

b:
VASP calculation (GGA-PBE) on crystalline CuHgH at its relaxed geometry.

Lattice parameters (Å, degrees): 4.8878 5.2254 7.2174 90.00 90.00 90.00
Positions (direct):
Cu (0.2500, 0.2500, 0.2500)
Cu (0.2500, 0.7500, 0.7500)
Cu (0.7500, 0.7500, 0.7500)
Cu (0.7500, 0.2500, 0.2500)
Hg (0.0000, 0.2500, 0.6193)
Hg (0.0000, 0.7500, 0.3807)
Hg (0.5000, 0.7500, 0.1193)
Hg (0.5000, 0.2500, 0.8807)
H (0.0000, 0.2500, 0.1048)
H (0.0000, 0.7500, 0.8952)
H (0.5000, 0.7500, 0.6048)
H (0.5000, 0.2500, 0.3952)

Values from the calculation:
symmetry	Imma, No. 74
Fermi-level density of states	0.67	states/eV/f.u.

=====

a is favored, and the nearest alternative lies 3.0 kJ/mol of atoms above it.

=====

a:
VASP calculation (GGA-PBE) on crystalline CuHgH at its relaxed geometry.

Lattice parameters (Å, degrees): 2.9201 8.3217 3.5816 90.00 90.00 90.00
Positions (direct):
Cu (0.0000, 0.0670, 0.5000)
Cu (0.5000, 0.9330, 0.0000)
Hg (0.0000, 0.6442, 0.0000)
Hg (0.5000, 0.3558, 0.5000)
H (0.0000, 0.0610, 0.0000)
H (0.5000, 0.9390, 0.5000)

Values from the calculation:
symmetry	Pmmn, No. 59
Fermi-level density of states	0.25	states/eV/f.u.

=====

b:
VASP calculation (GGA-PBE) on crystalline CuHgH at its relaxed geometry.

Lattice parameters (Å, degrees): 3.0471 4.8557 6.4425 95.60 89.36 107.10
Positions (direct):
Cu (0.7021, 0.8673, 0.8894)
Cu (0.9905, 0.4213, 0.9274)
Hg (0.5948, 0.6490, 0.2869)
Hg (0.3746, 0.1711, 0.5738)
H (0.8444, 0.1495, 0.0613)
H (0.1349, 0.7156, 0.8095)

Values from the calculation:
symmetry	P1, No. 1
Fermi-level density of states	0.40	states/eV/f.u.

=====

a is favored, and the nearest alternative lies 1.2 kJ/mol of atoms above it.

=====

a:
VASP calculation (GGA-PBE) on crystalline CuHg2H2 at its relaxed geometry.

Lattice parameters (Å, degrees): 3.1467 3.1467 7.0709 77.14 77.14 90.00
Positions (direct):
H (0.7500, 0.2500, 0.5000)
H (0.2500, 0.7500, 0.5000)
Hg (0.3673, 0.3673, 0.2655)
Hg (0.6327, 0.6327, 0.7345)
Cu (0.0000, 0.0000, 0.0000)

Values from the calculation:
symmetry	I4/mmm, No. 139
Fermi-level density of states	1.27	states/eV/f.u.

=====

b:
VASP calculation (GGA-PBE) on crystalline CuHg2H2 at its relaxed geometry.

Lattice parameters (Å, degrees): 7.0094 7.0094 3.7141 90.00 90.00 90.00
Positions (direct):
H (0.1537, 0.6537, 0.5000)
H (0.6537, 0.8463, 0.5000)
H (0.8463, 0.3463, 0.5000)
H (0.3463, 0.1537, 0.5000)
Hg (0.1625, 0.6625, 0.0000)
Hg (0.6625, 0.8375, 0.0000)
Hg (0.8375, 0.3375, 0.0000)
Hg (0.3375, 0.1625, 0.0000)
Cu (0.0000, 0.0000, 0.0000)
Cu (0.5000, 0.5000, 0.0000)

Values from the calculation:
symmetry	P4/mbm, No. 127
Fermi-level density of states	0.89	states/eV/f.u.

=====

b is favored, and the nearest alternative lies 6.6 kJ/mol of atoms above it.

=====

a:
VASP calculation (GGA-PBE) on crystalline Cu3HgH at its relaxed geometry.

Lattice parameters (Å, degrees): 4.9485 4.9485 4.9485 90.00 90.00 90.00
Each line ends with the local moment (μB).
Positions (direct):
H (0.5000, 0.5000, 0.5000)  0.32
Hg (0.0000, 0.0000, 0.0000)  0.00
Cu (0.0000, 0.5000, 0.0000)  0.02
Cu (0.0000, 0.0000, 0.5000)  0.02
Cu (0.5000, 0.0000, 0.0000)  0.05

Values from the calculation:
symmetry	Pm-3m, No. 221
Fermi-level density of states	1.55	states/eV/f.u.

=====

b:
VASP calculation (GGA-PBE) on crystalline Cu3HgH at its relaxed geometry.

Lattice parameters (Å, degrees): 3.9039 3.9039 3.9039 90.00 90.00 90.00
Positions (direct):
H (0.0000, 0.0000, 0.0000)
Hg (0.5000, 0.5000, 0.5000)
Cu (0.0000, 0.5000, 0.0000)
Cu (0.0000, 0.0000, 0.5000)
Cu (0.5000, 0.0000, 0.0000)

Values from the calculation:
symmetry	Pm-3m, No. 221
Fermi-level density of states	1.22	states/eV/f.u.

=====

b is favored, and the nearest alternative lies 115.7 kJ/mol of atoms above it.

=====

a:
VASP calculation (GGA-PBE) on crystalline CuHg2H at its relaxed geometry.

Lattice parameters (Å, degrees): 4.5319 4.5319 4.5319 60.00 60.00 60.00
Each line ends with the local moment (μB).
Positions (direct):
H (0.0000, 0.0000, 0.0000)  0.16
Hg (0.2500, 0.2500, 0.2500)  0.02
Hg (0.7500, 0.7500, 0.7500)  0.02
Cu (0.5000, 0.5000, 0.5000)  0.01

Values from the calculation:
symmetry	Fm-3m, No. 225
Fermi-level density of states	1.30	states/eV/f.u.

=====

b:
VASP calculation (GGA-PBE) on crystalline CuHg2H at its relaxed geometry.

Lattice parameters (Å, degrees): 6.2965 6.2965 5.6916 56.42 56.42 90.00
Positions (direct):
H (0.5000, 0.5000, 0.0000)
H (0.2500, 0.7500, 0.5000)
Hg (0.5700, 0.1250, 0.2500)
Hg (0.1800, 0.6250, 0.2500)
Hg (0.3750, 0.4300, 0.7500)
Hg (0.8750, 0.8200, 0.7500)
Cu (0.0000, 0.0000, 0.0000)
Cu (0.7500, 0.2500, 0.5000)

Values from the calculation:
symmetry	I-42d, No. 122
Fermi-level density of states	0.31	states/eV/f.u.

=====

b is favored, and the nearest alternative lies 14.7 kJ/mol of atoms above it.

=====

a:
VASP calculation (GGA-PBE) on crystalline Li2CuHgH at its relaxed geometry.

Lattice parameters (Å, degrees): 4.2392 4.2392 3.5211 90.00 90.00 90.00
Positions (direct):
H (0.0000, 0.0000, 0.0000)
Hg (0.5000, 0.5000, 0.5000)
Cu (0.0000, 0.0000, 0.5000)
Li (0.0000, 0.5000, 0.0000)
Li (0.5000, 0.0000, 0.0000)

Values from the calculation:
symmetry	P4/mmm, No. 123
Fermi-level density of states	1.30	states/eV/f.u.

=====

b:
VASP calculation (GGA-PBE) on crystalline Li2CuHgH at its relaxed geometry.

Lattice parameters (Å, degrees): 5.1235 3.5811 5.1235 90.00 90.00 90.00
Positions (direct):
H (0.0000, 0.5000, 0.0000)
Hg (0.0000, 0.0000, 0.0000)
Cu (0.5000, 0.5000, 0.5000)
Li (0.0000, 0.0000, 0.5000)
Li (0.5000, 0.0000, 0.0000)

Values from the calculation:
symmetry	P4/mmm, No. 123
Fermi-level density of states	1.29	states/eV/f.u.

=====

a is favored, and the nearest alternative lies 55.2 kJ/mol of atoms above it.

=====

a:
VASP calculation (GGA-PBE) on crystalline Cu2HgHPd at its relaxed geometry.

Lattice parameters (Å, degrees): 4.0863 4.0863 3.7882 90.00 90.00 90.00
Positions (direct):
H (0.0000, 0.0000, 0.0000)
Cu (0.0000, 0.5000, 0.0000)
Cu (0.5000, 0.0000, 0.0000)
Hg (0.5000, 0.5000, 0.5000)
Pd (0.0000, 0.0000, 0.5000)

Values from the calculation:
symmetry	P4/mmm, No. 123
Fermi-level density of states	2.07	states/eV/f.u.

=====

b:
VASP calculation (GGA-PBE) on crystalline Cu2HgHPd at its relaxed geometry.

Lattice parameters (Å, degrees): 3.8648 3.8648 4.3160 90.00 90.00 90.00
Positions (direct):
H (0.0000, 0.0000, 0.0000)
Cu (0.0000, 0.5000, 0.0000)
Cu (0.5000, 0.0000, 0.0000)
Hg (0.0000, 0.0000, 0.5000)
Pd (0.5000, 0.5000, 0.5000)

Values from the calculation:
symmetry	P4/mmm, No. 123
Fermi-level density of states	1.72	states/eV/f.u.

=====

a is favored, and the nearest alternative lies 15.8 kJ/mol of atoms above it.